4
Lattice="4.299 0.000 0.000 0.000 4.440 0.000 0.000 0.000 4.816" Properties=species:S:1:pos:R:3 comment="PuCdSnGe, optimized geometry, DFT PBE" delta_e_f_ev_per_atom=-0.277 energy_ev_per_cell=-25.0 space_group=Pmmm polymorph_energy_ev_per_atom=0.000 volume_a3_per_atom=22.98 pbc="T T T"
Pu 0.000 0.000 0.000
Cd 0.000 2.220 2.408
Sn 2.149 0.000 2.408
Ge 2.149 2.220 0.000